A geometry-optimized TmPd5Au8 structure. Source: Alexandria, functional PBE.

Output
Crystal system: tetragonal
ΔE_f, eV per atom: -0.142

a = 6.979 Å, b = 6.979 Å, c = 6.979 Å
α = 110.85°, β = 110.85°, γ = 106.76°
Sites, in units of the cell vectors:
Tm  0.000  0.000  0.000
Pd  0.208  0.038  0.584
Pd  0.376  0.792  0.830
Pd  0.454  0.624  0.416
Pd  0.750  0.250  0.500
Pd  0.962  0.546  0.170
Au  0.116  0.341  0.444
Au  0.164  0.394  0.900
Au  0.328  0.884  0.225
Au  0.495  0.264  0.100
Au  0.606  0.505  0.769
Au  0.659  0.103  0.775
Au  0.736  0.836  0.231
Au  0.897  0.672  0.556


A geometry-optimized HoP12Ru4 structure. Source: Alexandria, functional PBE.

Output
Crystal system: cubic
ΔE_f, eV per atom: -0.629

a = 6.993 Å, b = 6.993 Å, c = 6.993 Å
α = 109.47°, β = 109.47°, γ = 109.47°
Sites, in units of the cell vectors:
Ho  0.000  0.000  0.000
P  0.143  0.357  0.499
P  0.143  0.643  0.786
P  0.214  0.857  0.357
P  0.357  0.214  0.857
P  0.357  0.499  0.143
P  0.499  0.143  0.357
P  0.501  0.857  0.643
P  0.643  0.501  0.857
P  0.643  0.786  0.143
P  0.786  0.143  0.643
P  0.857  0.357  0.214
P  0.857  0.643  0.501
Ru  0.000  0.000  0.500
Ru  0.000  0.500  0.000
Ru  0.500  0.000  0.000
Ru  0.500  0.500  0.500


A geometry-optimized IrOsBr2 structure. Source: Alexandria, functional PBE.

Output
Crystal system: tetragonal
Excess energy over the best structure of this formula in the dataset, meV/atom: 257
ΔE_f (raw), eV/atom: 0.650

a = 3.062 Å, b = 3.062 Å, c = 8.887 Å
α = 90.00°, β = 90.00°, γ = 90.00°
Sites, in units of the cell vectors:
Ir  0.000  0.000  0.000
Os  0.500  0.500  0.168
Br  0.000  0.000  0.378
Br  0.500  0.500  0.786


A geometry-optimized Sr2AlAs structure. Source: Alexandria, functional PBE.

Output
Crystal system: tetragonal
Excess energy over the best structure of this formula in the dataset, meV/atom: 219
ΔE_f, eV per atom: -0.434

a = 5.804 Å, b = 5.804 Å, c = 5.804 Å
α = 129.24°, β = 129.24°, γ = 74.62°
Sites, in units of the cell vectors:
Sr  0.250  0.750  0.500
Sr  0.750  0.250  0.500
Al  0.000  0.000  0.000
As  0.500  0.500  0.000


Here are the calculated density of states at the Fermi level numbers, same order: 0.3753, 0.2313, 0.9370, 0.2517 (states/eV per atom).